No. 1
! HgBiSCl2, optimized geometry, DFT PBE; values from VASP
&SYSTEM
  ibrav = 0, nat = 5, ntyp = 4
/
ATOMIC_SPECIES
Hg 200.59 Hg.upf
Bi 208.98 Bi.upf
S 32.06 S.upf
Cl 35.45 Cl.upf
CELL_PARAMETERS angstrom
5.1451 0.0000 0.0000
0.0000 5.1451 0.0000
0.0000 0.0000 5.2331
ATOMIC_POSITIONS crystal
Hg 0.0000 0.0000 0.0000
Bi 0.5000 0.5000 0.5000
S 0.0000 0.0000 0.5000
Cl 0.0000 0.5000 0.0000
Cl 0.5000 0.0000 0.0000
! Raw total energy = -2.272 eV per atom
! Space-group type = P4/mmm, No. 123

No. 2
! Ho2ErPaSe4, optimized geometry, DFT PBE; values from VASP
&SYSTEM
  ibrav = 0, nat = 8, ntyp = 4
/
ATOMIC_SPECIES
Ho 164.93 Ho.upf
Er 167.26 Er.upf
Pa 231.04 Pa.upf
Se 78.96 Se.upf
CELL_PARAMETERS angstrom
7.0291 0.0000 0.0000
0.0000 4.0006 0.0000
-2.2732 0.0000 6.6930
ATOMIC_POSITIONS crystal
Ho 0.0000 0.0000 0.0000
Ho 0.0000 0.5000 0.5000
Er 0.5000 0.0000 0.5000
Pa 0.5000 0.5000 0.0000
Se 0.2462 0.0000 0.7449
Se 0.2494 0.5000 0.2531
Se 0.7506 0.5000 0.7469
Se 0.7538 0.0000 0.2551
! Raw total energy = -6.212 eV per atom
! Space-group type = P2/m, No. 10

No. 3
! BaNi2Cl, optimized geometry, DFT PBE; values from VASP
&SYSTEM
  ibrav = 0, nat = 4, ntyp = 3
/
ATOMIC_SPECIES
Ba 137.33 Ba.upf
Ni 58.69 Ni.upf
Cl 35.45 Cl.upf
CELL_PARAMETERS angstrom
-1.9765 2.9852 3.9865
1.9765 -2.9852 3.9865
1.9765 2.9852 -3.9865
ATOMIC_POSITIONS crystal
Ba 0.0000 0.0000 0.0000
Ni 0.5346 0.5346 0.0000
Ni 0.6689 0.1689 0.5000
Cl 0.3186 0.8186 0.5000
! Raw total energy = -3.991 eV per atom
! Space-group type = Imm2, No. 44

No. 4
! Ni5Pt, optimized geometry, DFT PBE; values from VASP
&SYSTEM
  ibrav = 0, nat = 6, ntyp = 2
/
ATOMIC_SPECIES
Ni 58.69 Ni.upf
Pt 195.08 Pt.upf
CELL_PARAMETERS angstrom
4.7159 -1.3033 0.0000
4.7159 1.3033 0.0000
-1.6636 0.0000 5.7943
ATOMIC_POSITIONS crystal
Ni 0.0000 0.0000 0.0000
Ni 0.0511 0.0511 0.5862
Ni 0.3404 0.3404 0.6528
Ni 0.3910 0.3910 0.2734
Ni 0.6691 0.6691 0.3326
Pt 0.7194 0.7194 0.9283
! Raw total energy = -5.819 eV per atom
! Space-group type = Cm, No. 8
! DFT formation energy = 0.005 eV per atom

Q: Among the records above, which one has the lowest raw total energy?
A: Ho2ErPaSe4